No. 1
PBEsol NbReBPt2, relaxed; calculated formation energy = 2.5597 eV/atom; density = 10.3 g/cm3; magnetic moment = 0.7 Bohr magnetons per cell; space group = No. 123; density of states at the Fermi level = 4.2 states/eV per cell
1.0
4.837 0.000 0.000
0.000 4.837 0.000
0.000 0.000 4.677
Nb Re B Pt
1 1 1 2
direct
0.000 0.000 0.000
0.000 0.000 0.500
0.500 0.500 0.500
0.000 0.500 0.000
0.500 0.000 0.000



No. 2
PBEsol Ba2NdTlCu2O7, relaxed; density = 7.6 g/cm3; uncorrected formation energy = -1.8412 eV per atom; magnetic moment = 0.0 Bohr magnetons per cell; space group = No. 25; density of states at the Fermi level = 2.0 states/eV per cell
1.0
3.864 0.000 0.000
0.000 12.564 0.000
0.000 0.000 3.888
Ba Nd Tl Cu O
2 1 1 2 7
direct
0.000 0.206 0.000
0.000 0.794 0.000
0.000 0.500 0.001
0.500 0.000 0.560
0.500 0.365 0.500
0.500 0.635 0.500
0.000 0.000 0.892
0.000 0.380 0.502
0.000 0.620 0.502
0.500 0.167 0.485
0.500 0.379 0.000
0.500 0.621 0.000
0.500 0.833 0.485



No. 3
PBEsol Cs2LiV3F12, relaxed; density = 4.0 g/cm3; uncorrected formation energy = -2.9165 eV per atom; magnetic moment = 6.0 Bohr magnetons per cell; space group = No. 166; density of states at the Fermi level = 12.9 states/eV per cell
1.0
3.654 2.110 5.909
-3.654 2.110 5.909
0.000 -4.219 5.909
Cs Li V F
2 1 3 12
direct
0.128 0.128 0.128
0.872 0.872 0.872
0.500 0.500 0.500
0.000 0.500 0.500
0.500 0.000 0.500
0.500 0.500 0.000
0.163 0.575 0.575
0.185 0.185 0.577
0.185 0.577 0.185
0.423 0.815 0.815
0.425 0.425 0.837
0.425 0.837 0.425
0.575 0.163 0.575
0.575 0.575 0.163
0.577 0.185 0.185
0.815 0.423 0.815
0.815 0.815 0.423
0.837 0.425 0.425



No. 4
PBEsol CaSc3As, relaxed; calculated formation energy = 1.1192 eV/atom; density = 3.4 g/cm3; magnetic moment = 0.0 Bohr magnetons per cell; space group = No. 221; density of states at the Fermi level = 4.9 states/eV per cell
1.0
4.937 0.000 0.000
0.000 4.937 0.000
0.000 0.000 4.937
Ca Sc As
1 3 1
direct
0.000 0.000 0.000
0.000 0.000 0.500
0.000 0.500 0.000
0.500 0.000 0.000
0.500 0.500 0.500